(1)
Compound: TlSiW2
Source: the Alexandria database
Functional: PBE
Structure: relaxed

Lattice parameters (Å, degrees): 4.565 4.565 3.193 90.00 90.00 90.05
Fractional positions:
Si (0.500, 0.000, 0.500)
W (0.500, 0.500, 0.000)
W (0.000, 0.000, 0.000)
Tl (0.000, 0.500, 0.500)

Summary:
crystal system	tetragonal
final energy	-0.27591	Ha/atom
distance to the lowest polymorph of the same formula	496	meV per atom
mass density	15.0	g/cm3



(2)
Compound: TlSi2W
Source: the Alexandria database
Functional: PBE
Structure: relaxed

Lattice parameters (Å, degrees): 2.776 4.283 7.326 90.00 90.00 90.00
Fractional positions:
Si (0.500, 0.500, 0.218)
Si (0.000, 0.000, 0.901)
Tl (0.000, 0.000, 0.491)
W (0.500, 0.500, 0.890)

Summary:
crystal system	orthorhombic
final energy	-0.21896	Ha/atom
distance to the lowest polymorph of the same formula	290	meV per atom
mass density	8.5	g/cm3



(3)
Compound: TlSiW4
Source: the Alexandria database
Functional: PBE
Structure: relaxed

Lattice parameters (Å, degrees): 5.350 5.350 5.350 60.00 60.00 60.00
Fractional positions:
W (0.877, 0.374, 0.374)
W (0.374, 0.877, 0.374)
Tl (0.000, 0.000, 0.000)
W (0.374, 0.374, 0.877)
Si (0.750, 0.750, 0.750)
W (0.374, 0.374, 0.374)

Summary:
crystal system	cubic
final energy	-0.33184	Ha/atom
mass density	14.8	g/cm3



(4)
Compound: TlSi2W
Source: the Alexandria database
Functional: PBE
Structure: relaxed

Lattice parameters (Å, degrees): 4.855 4.855 4.855 128.32 128.32 76.11
Fractional positions:
Tl (0.250, 0.750, 0.500)
Si (0.500, 0.500, 0.000)
Si (0.000, 0.000, 0.000)
W (0.750, 0.250, 0.500)

Summary:
crystal system	tetragonal
final energy	-0.20803	Ha/atom
distance to the lowest polymorph of the same formula	587	meV per atom
mass density	10.8	g/cm3



(5)
Compound: TlSi2W
Source: the Alexandria database
Functional: PBE
Structure: relaxed

Lattice parameters (Å, degrees): 10.055 10.055 10.055 16.85 16.85 16.85
Fractional positions:
Tl (0.493, 0.493, 0.493)
Si (0.269, 0.269, 0.269)
W (0.736, 0.736, 0.736)
Si (0.002, 0.002, 0.002)

Summary:
crystal system	trigonal
final energy	-0.21703	Ha/atom
distance to the lowest polymorph of the same formula	342	meV per atom
mass density	9.9	g/cm3



(6)
Compound: TlSi2W
Source: the Alexandria database
Functional: PBE
Structure: relaxed

Lattice parameters (Å, degrees): 4.628 4.628 4.628 60.00 60.00 60.00
Site moments in Bohr magnetons follow the coordinates.
Fractional positions:
Si (0.250, 0.250, 0.250)  0.00
Tl (0.500, 0.500, 0.500)  0.01
W (0.000, 0.000, 0.000)  0.38
Si (0.750, 0.750, 0.750)  0.00

Summary:
crystal system	cubic
final energy	-0.20419	Ha/atom
distance to the lowest polymorph of the same formula	692	meV per atom
mass density	10.5	g/cm3